The following is a PBE calculation of a relaxed structure of Ca2Ac4Pm, from Alexandria via LeMat-Bulk.

Cell: 6.4731 6.7830 7.7692 Å, 115.88 90.00 90.00°
Positions (direct):
Ac1 0.0000 0.8046 0.6092
Ac2 0.5000 0.6392 0.2783
Ac3 0.5000 0.3608 0.7217
Ac4 0.0000 0.1954 0.3908
Pm1 0.0000 0.5000 0.0000
Ca1 0.5000 0.1076 0.2151
Ca2 0.5000 0.8924 0.7849

Computed properties:
VASP energy in eV per atom: -3.1411
Energy relative to the elements in eV per atom: 0.457


The following is a PBE calculation of a relaxed structure of Co3Cu, from Alexandria via LeMat-Bulk.

Cell: 2.5032 4.0745 4.3712 Å, 90.00 90.00 90.00°
Each line ends with the local moment (μB).
Positions (direct):
Co1 0.0000 0.0000 0.9993  1.61
Co2 0.5000 0.0000 0.5059  1.65
Co3 0.5000 0.5000 0.8303  1.66
Cu1 0.0000 0.5000 0.3312  0.12

Computed properties:
VASP energy in eV per atom: -6.2541
Energy relative to the elements in eV per atom: 0.099


The following is a PBE calculation of a relaxed structure of AgBi3S6, from Alexandria via LeMat-Bulk.

Cell: 7.0911 7.0911 6.8555 Å, 115.79 115.79 99.13°
Positions (direct):
Ag1 0.0000 0.0000 0.0000
S1 0.1014 0.1014 0.7331
S2 0.2469 0.7531 0.0000
S3 0.3684 0.3684 0.2669
S4 0.6316 0.6316 0.7331
S5 0.8986 0.8986 0.2669
S6 0.7531 0.2469 0.0000
Bi1 0.5000 0.5000 0.0000
Bi2 0.2500 0.7500 0.5000
Bi3 0.7500 0.2500 0.5000

Computed properties:
VASP energy in eV per atom: -3.8160
Energy relative to the elements, uncorrected in eV per formula unit: 1.1


The following is a PBE calculation of a relaxed structure of Tb5Te2Ir, from Alexandria via LeMat-Bulk.

Cell: 5.9191 6.6518 14.3536 Å, 90.00 90.00 116.42°
Positions (direct):
Tb1 0.9367 0.8735 0.6223
Tb2 0.9367 0.8735 0.8777
Tb3 0.6234 0.2468 0.8910
Tb4 0.3766 0.7532 0.1090
Tb5 0.6818 0.3637 0.2500
Tb6 0.3182 0.6363 0.7500
Tb7 0.0633 0.1265 0.3777
Tb8 0.3766 0.7532 0.3910
Tb9 0.6234 0.2468 0.6090
Tb10 0.0633 0.1265 0.1223
Te1 0.1916 0.3832 0.9377
Te2 0.1916 0.3832 0.5623
Te3 0.8084 0.6168 0.4377
Te4 0.8084 0.6168 0.0623
Ir1 0.7756 0.5512 0.7500
Ir2 0.2244 0.4488 0.2500

Computed properties:
VASP energy in eV per atom: -5.4538
Energy relative to the elements, uncorrected in eV per formula unit: -5.3
Offset from the most stable computed form in meV/atom: 248


N(E_F) per entry: 12.55 3.46 4.97 16.30 states/eV per cell